1.
# Sr2InSiS

A geometry-optimized Sr2InSiS structure (PBEsol, Alexandria via LeMat-Bulk).

Cell lengths 4.7840, 6.2121, 6.2121 Å; angles 90.00, 90.00, 90.00 degrees
Fractional coordinates of all 5 atoms:
1 Sr 0.0000 0.0000 0.5000
2 Sr 0.0000 0.5000 0.0000
3 S 0.5000 0.0000 0.0000
4 Si 0.5000 0.5000 0.5000
5 In 0.0000 0.0000 0.0000

uncorrected energy	-3.022	eV per atom
formation energy (no corrections)	0.337	eV/atom
symmetry	P4/mmm (123)

---

2.
# AlReSe4

A geometry-optimized AlReSe4 structure (PBEsol, Alexandria via LeMat-Bulk).

Cell lengths 5.4138, 5.4138, 5.4138 Å; angles 60.00, 60.00, 60.00 degrees
Fractional coordinates of all 6 atoms:
1 Re 0.0000 0.0000 0.0000
2 Al 0.7500 0.7500 0.7500
3 Se 0.3748 0.3748 0.3748
4 Se 0.3748 0.3748 0.8757
5 Se 0.8757 0.3748 0.3748
6 Se 0.3748 0.8757 0.3748

uncorrected energy	-4.209	eV per atom
formation energy (no corrections)	1.262	eV/atom
symmetry	F-43m (216)

---

3.
# MgWBr2

A geometry-optimized MgWBr2 structure (PBEsol, Alexandria via LeMat-Bulk).

Cell lengths 3.1070, 5.3711, 7.0342 Å; angles 112.30, 90.00, 106.81 degrees
Fractional coordinates of all 4 atoms:
1 Br 0.0983 0.1967 0.0451
2 Br 0.2694 0.5389 0.6774
3 Mg 0.4403 0.8805 0.4222
4 W 0.6919 0.3839 0.3554

polymorph energy (0 for the lowest one)	0	meV/atom
uncorrected energy	-4.537	eV per atom
formation energy (no corrections)	0.279	eV/atom
symmetry	Cm (8)

---

4.
# Li7Ni13O24

A geometry-optimized Li7Ni13O24 structure (PBEsol, Alexandria via LeMat-Bulk).

Cell lengths 7.5169, 7.5169, 8.5833 Å; angles 105.07, 107.66, 110.90 degrees
Fractional coordinates of all 44 atoms:
1 Li 0.6781 0.6781 0.0000
2 Li 0.5031 0.7465 0.2495
3 Li 0.3338 0.8338 0.5000
4 Li 0.0000 0.0000 0.0000
5 Li 0.6662 0.1662 0.5000
6 Li 0.4969 0.2535 0.7505
7 Li 0.3219 0.3219 0.0000
8 Ni 0.0886 0.7050 0.1241
9 Ni 0.9158 0.7934 0.3740
10 Ni 0.7572 0.8754 0.6326
11 Ni 0.2428 0.1246 0.3674
12 Ni 0.2438 0.6256 0.8694
13 Ni 0.0842 0.2066 0.6260
14 Ni 0.5809 0.9645 0.8759
15 Ni 0.4191 0.0355 0.1241
16 Ni 0.0000 0.5000 0.5000
17 Ni 0.9114 0.2950 0.8759
18 Ni 0.7562 0.3744 0.1306
19 Ni 0.5806 0.4582 0.3740
20 Ni 0.4194 0.5418 0.6260
21 O 0.8615 0.6711 0.5326
22 O 0.6869 0.7853 0.8018
23 O 0.4925 0.6532 0.4599
24 O 0.1409 0.8088 0.9497
25 O 0.2955 0.7103 0.6883
26 O 0.1933 0.0326 0.5401
27 O 0.9834 0.8851 0.1982
28 O 0.0166 0.1149 0.8018
29 O 0.8067 0.9674 0.4599
30 O 0.6328 0.0765 0.7093
31 O 0.5133 0.8471 0.0352
32 O 0.3672 0.9235 0.2907
33 O 0.1385 0.3289 0.4674
34 O 0.9780 0.3928 0.6883
35 O 0.8591 0.1912 0.0503
36 O 0.7045 0.2897 0.3117
37 O 0.4867 0.1529 0.9648
38 O 0.5075 0.3468 0.5401
39 O 0.3131 0.2147 0.1982
40 O 0.1881 0.5219 0.0352
41 O 0.3616 0.4418 0.8034
42 O 0.0220 0.6072 0.3117
43 O 0.8119 0.4781 0.9648
44 O 0.6384 0.5582 0.1966

uncorrected energy	-6.105	eV per atom
formation energy (no corrections)	-1.109	eV/atom
symmetry	C2/m (12)

---

5.
# Cs2HgBiI6

A geometry-optimized Cs2HgBiI6 structure (PBEsol, Alexandria via LeMat-Bulk).

Cell lengths 8.6053, 8.6053, 8.6053 Å; angles 60.00, 60.00, 60.00 degrees
Fractional coordinates of all 10 atoms:
1 Cs 0.7500 0.7500 0.7500
2 Cs 0.2500 0.2500 0.2500
3 I 0.7494 0.2506 0.2506
4 I 0.7494 0.7494 0.2506
5 I 0.2506 0.7494 0.7494
6 I 0.7494 0.2506 0.7494
7 I 0.2506 0.7494 0.2506
8 I 0.2506 0.2506 0.7494
9 Hg 0.5000 0.5000 0.5000
10 Bi 0.0000 0.0000 0.0000

uncorrected energy	-2.560	eV per atom
formation energy (no corrections)	-0.826	eV/atom
symmetry	Fm-3m (225)

---

6.
# LaRuO2

A geometry-optimized LaRuO2 structure (PBEsol, Alexandria via LeMat-Bulk).

Cell lengths 3.4234, 3.4234, 6.1586 Å; angles 73.86, 73.86, 60.00 degrees
Fractional coordinates of all 4 atoms:
1 Ru 0.5000 0.5000 0.5000
2 O 0.8724 0.8724 0.3827
3 O 0.1276 0.1276 0.6173
4 La 0.0000 0.0000 0.0000

polymorph energy (0 for the lowest one)	531	meV/atom
uncorrected energy	-7.652	eV per atom
formation energy (no corrections)	-1.148	eV/atom
symmetry	R-3m (166)

---

7.
# ReOsPt2

A geometry-optimized ReOsPt2 structure (PBEsol, Alexandria via LeMat-Bulk).

Cell lengths 2.7245, 3.8725, 5.5150 Å; angles 90.00, 90.00, 90.00 degrees
Fractional coordinates of all 4 atoms:
1 Re 0.0000 0.0000 0.5111
2 Os 0.5000 0.5000 0.7385
3 Pt 0.0000 0.0000 0.9963
4 Pt 0.5000 0.5000 0.2541

polymorph energy (0 for the lowest one)	31	meV/atom
uncorrected energy	-9.902	eV per atom
ΔH_f (0 K)	-0.033	eV/atom
symmetry	Pmm2 (25)

---

8.
# YZrAs2

A geometry-optimized YZrAs2 structure (PBEsol, Alexandria via LeMat-Bulk).

Cell lengths 3.9152, 3.9152, 6.8583 Å; angles 73.42, 73.42, 60.00 degrees
Fractional coordinates of all 4 atoms:
1 Y 0.5000 0.5000 0.5000
2 As 0.2544 0.2544 0.2367
3 As 0.7456 0.7456 0.7633
4 Zr 0.0000 0.0000 0.0000

polymorph energy (0 for the lowest one)	0	meV/atom
uncorrected energy	-7.911	eV per atom
ΔH_f (0 K)	-1.380	eV/atom
symmetry	R-3m (166)

---

9.
# CaAlTc2Te

A geometry-optimized CaAlTc2Te structure (PBEsol, Alexandria via LeMat-Bulk).

Cell lengths 4.5441, 4.5441, 5.1936 Å; angles 90.00, 90.00, 90.00 degrees
Fractional coordinates of all 5 atoms:
1 Ca 0.0000 0.0000 0.5000
2 Te 0.5000 0.5000 0.5000
3 Tc 0.0000 0.5000 0.0000
4 Tc 0.5000 0.0000 0.0000
5 Al 0.0000 0.0000 0.0000

uncorrected energy	-5.510	eV per atom
formation energy (no corrections)	0.947	eV/atom
symmetry	P4/mmm (123)

---

10.
# TbCoSi3

A geometry-optimized TbCoSi3 structure (PBEsol, Alexandria via LeMat-Bulk).

Cell lengths 4.0248, 4.0248, 5.5098 Å; angles 111.42, 111.42, 90.00 degrees
Fractional coordinates of all 5 atoms:
1 Tb 0.9961 0.9961 0.9921
2 Si 0.5717 0.5717 0.1433
3 Si 0.7387 0.2387 0.4774
4 Si 0.2387 0.7387 0.4774
5 Co 0.3399 0.3399 0.6798

uncorrected energy	-6.765	eV per atom
formation energy (no corrections)	-0.768	eV/atom
symmetry	I4mm (107)

---

11.
# CeCl3

A geometry-optimized CeCl3 structure (PBEsol, Alexandria via LeMat-Bulk).

Cell lengths 4.2154, 7.4010, 7.4010 Å; angles 120.00, 90.00, 90.00 degrees
Fractional coordinates of all 8 atoms:
1 Ce 0.7500 0.6667 0.3333
2 Ce 0.2500 0.3333 0.6667
3 Cl 0.2500 0.3882 0.0859
4 Cl 0.7500 0.6118 0.9141
5 Cl 0.7500 0.3024 0.3882
6 Cl 0.2500 0.6976 0.6118
7 Cl 0.7500 0.0859 0.6976
8 Cl 0.2500 0.9141 0.3024

uncorrected energy	-5.356	eV per atom
formation energy (no corrections)	-2.201	eV/atom
symmetry	P6_3/m (176)

---

12.
# TbPt2

A geometry-optimized TbPt2 structure (PBEsol, Alexandria via LeMat-Bulk).

Cell lengths 5.3661, 5.3661, 5.3661 Å; angles 60.00, 60.00, 60.00 degrees
Fractional coordinates of all 6 atoms:
1 Tb 0.5000 0.5000 0.5000
2 Tb 0.7500 0.7500 0.7500
3 Pt 0.1250 0.1250 0.1250
4 Pt 0.6250 0.1250 0.1250
5 Pt 0.1250 0.6250 0.1250
6 Pt 0.1250 0.1250 0.6250

uncorrected energy	-7.426	eV per atom
ΔH_f (0 K)	-1.114	eV/atom
symmetry	Fd-3m (227)